No. 1
# TeMo2Rh, PBEsol geometry, DFT meta-GGA SCAN
# Formation energy without anion corrections, eV/atom: 0.269
# Uncorrected energy, eV/atom: -34.9288
# N(E_F), states/eV per cell: 10.67
# M_tot, Bohr magnetons per cell: 0.0
data_TeMo2Rh
_cell_length_a 3.9024
_cell_length_b 3.9024
_cell_length_c 8.3238
_cell_angle_alpha 90.00
_cell_angle_beta 90.00
_cell_angle_gamma 90.00
_symmetry_space_group_name_H-M 'I 4/m m m'
_symmetry_Int_Tables_number 139
_symmetry_space_group_name_Hall '-I 4 2'
loop_
_atom_site_label
_atom_site_type_symbol
_atom_site_fract_x
_atom_site_fract_y
_atom_site_fract_z
_atom_site_occupancy
Te1 Te 0.0000 0.0000 0.0000 1
Mo1 Mo 0.0000 0.5000 0.2500 1
Rh1 Rh 0.0000 0.0000 0.5000 1

=====

No. 2
# TeMo2RhW, PBEsol geometry, DFT meta-GGA SCAN
# Formation energy without anion corrections, eV/atom: 1.929
# Uncorrected energy, eV/atom: -40.1676
# N(E_F), states/eV per cell: 4.37
# M_tot, Bohr magnetons per cell: 1.6
data_TeMo2RhW
_cell_length_a 4.6479
_cell_length_b 4.6479
_cell_length_c 5.0108
_cell_angle_alpha 90.00
_cell_angle_beta 90.00
_cell_angle_gamma 90.00
_symmetry_space_group_name_H-M 'P 4/m m m'
_symmetry_Int_Tables_number 123
_symmetry_space_group_name_Hall '-P 4 2'
loop_
_atom_site_label
_atom_site_type_symbol
_atom_site_fract_x
_atom_site_fract_y
_atom_site_fract_z
_atom_site_occupancy
Te1 Te 0.0000 0.0000 0.0000 1
Mo1 Mo 0.0000 0.5000 0.5000 1
Rh1 Rh 0.5000 0.5000 0.0000 1
W1 W 0.0000 0.0000 0.5000 1

=====

No. 3
# TiMo3Rh, PBEsol geometry, DFT meta-GGA SCAN
# Calculated formation energy, meV/atom: 1525
# Uncorrected energy, eV/atom: -29.3659
# N(E_F), states/eV per cell: 6.20
# M_tot, Bohr magnetons per cell: 0.0
data_TiMo3Rh
_cell_length_a 4.6064
_cell_length_b 4.6064
_cell_length_c 4.6064
_cell_angle_alpha 90.00
_cell_angle_beta 90.00
_cell_angle_gamma 90.00
_symmetry_space_group_name_H-M 'P m -3 m'
_symmetry_Int_Tables_number 221
_symmetry_space_group_name_Hall '-P 4 2 3'
loop_
_atom_site_label
_atom_site_type_symbol
_atom_site_fract_x
_atom_site_fract_y
_atom_site_fract_z
_atom_site_occupancy
Ti1 Ti 0.0000 0.0000 0.0000 1
Mo1 Mo 0.0000 0.5000 0.5000 1
Rh1 Rh 0.5000 0.5000 0.5000 1